(1)
This record from Alexandria via LeMat-Bulk describes a crystal of ZrRuPt2 relaxed with PBEsol. The functional is meta-GGA SCAN.

Fermi-level density of states ... 4.20 states/eV per cell
Total DFT energy (no corrections) ... -52.02 eV per atom
Space-group type ... Cm, No. 8
Total magnetic moment ... 0.0 μB per cell

Lattice parameters (Å, degrees): 2.874 4.855 4.831 100.20 107.30 90.00
Sites, in units of the cell vectors:
Pt (0.000, 0.997, 0.000)
Pt (0.246, 0.735, 0.492)
Ru (0.502, 0.521, 0.004)
Zr (0.752, 0.247, 0.504)

---

(2)
This record from Alexandria via LeMat-Bulk describes a crystal of PtS relaxed with PBEsol. The functional is meta-GGA SCAN.

Total DFT energy (no corrections) ... -40.46 eV per atom
Space-group type ... P4_2/mmc, No. 131
Total magnetic moment ... 0.0 μB per cell

Lattice parameters (Å, degrees): 3.468 3.468 6.066 90.00 90.00 90.00
Sites, in units of the cell vectors:
S (0.000, 0.000, 0.750)
S (0.000, 0.000, 0.250)
Pt (0.500, 0.000, 0.500)
Pt (0.000, 0.500, 0.000)